# PBE Zn3Cu12Ge, optimized geometry
data_Zn3Cu12Ge
_cell_length_a 3.6479
_cell_length_b 3.6479
_cell_length_c 15.0709
_cell_angle_alpha 90.00
_cell_angle_beta 90.00
_cell_angle_gamma 90.00
_space_group_name_H-M_alt 'P 4/m m m'
_space_group_IT_number 123
_space_group_name_Hall '-P 4 2'
loop_
_atom_site_label
_atom_site_type_symbol
_atom_site_fract_x
_atom_site_fract_y
_atom_site_fract_z
Zn1 Zn 0.0000 0.0000 0.0000
Zn2 Zn 0.0000 0.0000 0.2488
Cu1 Cu 0.0000 0.5000 0.1244
Cu2 Cu 0.0000 0.5000 0.3740
Cu3 Cu 0.5000 0.5000 0.0000
Cu4 Cu 0.5000 0.5000 0.2494
Cu5 Cu 0.5000 0.5000 0.5000
Ge1 Ge 0.0000 0.0000 0.5000
# - Volume: 12.5 Å³ per atom
# - Magnetization: 0.00 μB per formula unit
# - Crystal system: tetragonal
# - Energy: -3.646 eV/atom
# - ΔE_f: -0.046 eV/atom